No. 1
## TbCuHg (PBE)

Data for an optimized crystal structure of TbCuHg.

Calculated values
Crystal system: orthorhombic
DOS(E_F): 10.77 states/eV per cell
Formation energy from the elements: -0.36 eV per atom

The structure in CIF format:
```
data_TbCuHg
_cell_length_a 13.2254
_cell_length_b 3.7924
_cell_length_c 7.5957
_cell_angle_alpha 90.00
_cell_angle_beta 90.00
_cell_angle_gamma 90.00
_space_group_name_H-M_alt 'P m m a'
_space_group_IT_number 51
_space_group_name_Hall '-P 2a 2a'
loop_
_atom_site_label
_atom_site_type_symbol
_atom_site_fract_x
_atom_site_fract_y
_atom_site_fract_z
Tb1 Tb 0.0477 0.0000 0.2389
Tb2 Tb 0.2500 0.0000 0.8461
Cu1 Cu 0.0885 0.5000 0.9464
Cu2 Cu 0.2500 0.0000 0.4465
Hg1 Hg 0.1162 0.5000 0.5776
Hg2 Hg 0.2500 0.5000 0.1844
```

No. 2
## Ni5AgPd12 (PBE)

Data for an optimized crystal structure of Ni5AgPd12.

Calculated values
Crystal system: triclinic
DOS(E_F): 27.09 states/eV per cell
Formation energy from the elements: 0.04 eV per atom

The structure in CIF format:
```
data_Ni5AgPd12
_cell_length_a 4.6995
_cell_length_b 8.1761
_cell_length_c 8.1770
_cell_angle_alpha 60.91
_cell_angle_beta 74.51
_cell_angle_gamma 74.50
_space_group_name_H-M_alt 'P -1'
_space_group_IT_number 2
_space_group_name_Hall '-P 1'
loop_
_atom_site_label
_atom_site_type_symbol
_atom_site_fract_x
_atom_site_fract_y
_atom_site_fract_z
Ni1 Ni 0.0000 0.0000 0.0000
Ni2 Ni 0.0164 0.3292 0.3280
Ni3 Ni 0.4967 0.8345 0.8343
Ag1 Ag 0.5000 0.5000 0.5000
Pd1 Pd 0.0007 0.6684 0.3311
Pd2 Pd 0.0007 0.6719 0.9958
Pd3 Pd 0.0056 0.0039 0.3285
Pd4 Pd 0.4936 0.5058 0.8341
Pd5 Pd 0.4979 0.1667 0.4944
Pd6 Pd 0.4999 0.1589 0.8413
```